## Rb3ErI8 (GGA-PBE)

Data for a relaxed Rb3ErI8 crystal.

a = 8.2444 Å, b = 8.2444 Å, c = 10.4634 Å
α = 113.20°, β = 113.20°, γ = 90.00°
Closest atoms and distances in Å follow each position.
Sites, in units of the cell vectors:
Rb  0.7500  0.2500  0.5000  8 I 3.81
Rb  0.5000  0.5000  0.0000  8 I 3.75
Rb  0.2500  0.7500  0.5000  8 I 3.81
Er  0.0000  0.0000  0.0000  8 I 3.23
I  0.3330  0.3330  0.2199  1 Er 3.23
I  0.3330  0.8870  0.2199  1 Er 3.23
I  0.1130  0.6670  0.7801  1 Er 3.23
I  0.1130  0.1130  0.7801  1 Er 3.23
I  0.8870  0.8870  0.2199  1 Er 3.23
I  0.8870  0.3330  0.2199  1 Er 3.23
I  0.6670  0.1130  0.7801  1 Er 3.23
I  0.6670  0.6670  0.7801  1 Er 3.23

ΔE_f (raw) in eV per atom: -1.032